# 1
KEr3Ag2Te6, relaxed, DFT PBE-GGA; energy = -4.261 eV/atom; formation energy from raw total energies = -94.9 kJ per mole of atoms; SG = C2/m (12); total moment = 0.0 μB per cell
1.0
-2.0086 2.6785 2.9462
-3.0194 -7.7711 5.0065
9.3549 1.0027 2.0909
Te Er Ag K
6 3 2 1
Cartesian
-0.0090 -2.6213 5.7523 Te
1.7482 1.7365 2.9885 Te
4.3359 -1.4687 4.2913 Te
-0.6383 -2.1701 1.5378 Te
2.5786 -5.8264 7.0551 Te
4.9652 -1.9198 8.5058 Te
4.1404 1.5164 4.8195 Er
-2.5140 -2.5463 3.9764 Er
0.1865 -5.6064 5.2241 Er
2.3514 -3.0514 7.7526 Ag
1.9755 -1.0386 2.2910 Ag
-1.0043 1.3392 1.4731 K


# 2
Pa2Co9Pd, relaxed, DFT PBE-GGA; energy = -7.456 eV/atom; formation energy = -0.112 eV per atom; DOS(E_F) = 17.238 states/eV/cell; SG = R-3m (166); total moment = 8.2 μB per cell
1.0
4.8868 0.0000 0.0000
2.4434 4.2321 0.0000
2.4434 1.4107 7.9382
Co Pa Pd
9 2 1
Cartesian
3.6538 3.5333 5.9668 Co
4.8868 2.8214 0.0279 Co
6.1198 3.5333 5.9668 Co
4.8868 2.8214 7.9103 Co
3.6538 2.1095 1.9715 Co
4.8868 2.8214 3.9691 Co
4.8868 4.2452 1.9715 Co
6.1198 2.1095 1.9715 Co
4.8868 1.3976 5.9668 Co
7.3302 4.2321 3.0445 Pa
2.4434 1.4107 4.8938 Pa
0.0000 0.0000 0.0000 Pd